Arrangement 1

The following is a PBE calculation of a relaxed TaP3Rh crystal, from the Alexandria database.

Cell and atoms, written as extended XYZ:
```
5
Lattice="4.516 0.000 0.000 0.000 4.516 0.000 0.000 0.000 4.516" Properties=species:S:1:pos:R:3 pbc="T T T"
Ta 0.000 0.000 0.000
P 0.000 2.258 2.258
P 2.258 0.000 2.258
P 2.258 2.258 0.000
Rh 2.258 2.258 2.258
```

Arrangement 2

The following is a PBE calculation of a relaxed TaP3Rh crystal, from the Alexandria database.

Cell and atoms, written as extended XYZ:
```
5
Lattice="4.738 0.000 0.000 0.000 4.738 0.000 0.000 0.000 4.738" Properties=species:S:1:pos:R:3 pbc="T T T"
Ta 0.000 0.000 0.000
P 0.000 0.000 2.369
P 0.000 2.369 0.000
P 2.369 0.000 0.000
Rh 2.369 2.369 2.369
```

Stability ranking, top and bottom: arrangement 2 is the most stable and arrangement 1 is the least stable.

Arrangement 1

The following is a PBE calculation of a relaxed TaTlPRh2 crystal, from the Alexandria database.

Cell and atoms, written as extended XYZ:
```
5
Lattice="4.874 0.000 0.000 0.000 4.874 0.000 0.000 0.000 4.730" Properties=species:S:1:pos:R:3 pbc="T T T"
Ta 0.000 0.000 0.000
Tl 2.437 2.437 2.365
P 2.437 2.437 0.000
Rh 0.000 2.437 2.365
Rh 2.437 0.000 2.365
```

Arrangement 2

The following is a PBE calculation of a relaxed TaTlPRh2 crystal, from the Alexandria database.

Cell and atoms, written as extended XYZ:
```
5
Lattice="4.419 0.000 0.000 0.000 4.419 0.000 0.000 0.000 4.705" Properties=species:S:1:pos:R:3 pbc="T T T"
Ta 0.000 0.000 0.000
Tl 2.209 2.209 0.000
P 0.000 0.000 2.352
Rh 0.000 2.209 2.352
Rh 2.209 0.000 2.352
```

Stability ranking, top and bottom: arrangement 2 is the most stable and arrangement 1 is the least stable.

Arrangement 1

The following is a PBE calculation of a relaxed Tb2P2Rh5 crystal, from the Alexandria database.

Cell and atoms, written as extended XYZ:
```
9
Lattice="4.014 0.000 0.000 0.000 4.014 0.000 0.000 0.000 10.855" Properties=species:S:1:pos:R:3 pbc="T T T"
Tb 0.000 0.000 0.000
Tb 0.000 0.000 5.427
P 2.007 2.007 2.262
P 2.007 2.007 8.593
Rh 0.000 2.007 3.295
Rh 0.000 2.007 7.560
Rh 2.007 0.000 3.295
Rh 2.007 0.000 7.560
Rh 2.007 2.007 0.000
```

Arrangement 2

The following is a PBE calculation of a relaxed Tb2P2Rh5 crystal, from the Alexandria database.

Cell and atoms, written as extended XYZ:
```
9
Lattice="4.115 0.000 0.000 0.000 4.115 0.000 0.000 0.000 8.720" Properties=species:S:1:pos:R:3 pbc="T T T"
Tb 0.000 0.000 0.000
Tb 0.000 0.000 4.360
P 2.057 2.057 1.217
P 2.057 2.057 7.503
Rh 0.000 2.057 2.238
Rh 0.000 2.057 6.482
Rh 2.057 0.000 2.238
Rh 2.057 0.000 6.482
Rh 2.057 2.057 4.360
```

Stability ranking, top and bottom: arrangement 2 is the most stable and arrangement 1 is the least stable.

Arrangement 1

The following is a PBE calculation of a relaxed TcP2Rh crystal, from the Alexandria database.

Cell and atoms, written as extended XYZ:
```
4
Lattice="4.004 -1.571 0.000 4.004 1.571 0.000 -1.081 0.000 4.574" Properties=species:S:1:pos:R:3 pbc="T T T"
Tc 0.000 0.000 0.000
P 2.282 0.000 0.152
P 3.480 0.000 2.788
Rh 5.792 0.000 1.907
```

Arrangement 2

The following is a PBE calculation of a relaxed TcP2Rh crystal, from the Alexandria database.

Cell and atoms, written as extended XYZ:
```
4
Lattice="-1.490 2.518 3.772 1.490 -2.518 3.772 1.490 2.518 -3.772" Properties=species:S:1:pos:R:3 pbc="T T T"
Tc 0.000 0.000 0.000
P 1.490 0.000 1.898
P 0.000 2.518 1.874
Rh 0.000 0.000 3.772
```

Arrangement 3

The following is a PBE calculation of a relaxed TcP2Rh crystal, from the Alexandria database.

Cell and atoms, written as extended XYZ:
```
4
Lattice="2.869 0.000 0.000 0.000 2.869 0.000 0.000 0.000 7.593" Properties=species:S:1:pos:R:3 pbc="T T T"
Tc 0.000 0.000 0.000
P 0.000 0.000 4.190
P 1.434 1.434 1.339
Rh 1.434 1.434 5.566
```

Stability ranking, top and bottom: arrangement 1 is the most stable and arrangement 2 is the least stable.

Arrangement 1

The following is a PBE calculation of a relaxed TcP2Rh crystal, from the Alexandria database.

Cell and atoms, written as extended XYZ:
```
4
Lattice="1.469 0.848 7.289 -1.469 0.848 7.289 0.000 -1.696 7.289" Properties=species:S:1:pos:R:3 pbc="T T T"
Tc 0.000 0.000 0.000
P 0.000 0.000 5.500
P 0.000 0.000 16.368
Rh 0.000 0.000 10.934
```

Arrangement 2

The following is a PBE calculation of a relaxed TcP2Rh crystal, from the Alexandria database.

Cell and atoms, written as extended XYZ:
```
4
Lattice="1.494 0.862 7.335 -1.494 0.862 7.335 0.000 -1.725 7.335" Properties=species:S:1:pos:R:3 pbc="T T T"
Tc 0.000 0.000 0.000
P 0.000 0.000 10.750
P 0.000 0.000 16.259
Rh 0.000 0.000 4.976
```

Stability ranking, top and bottom: arrangement 1 is the most stable and arrangement 2 is the least stable.

Arrangement 1

The following is a PBE calculation of a relaxed TcP2Rh crystal, from the Alexandria database.

Cell and atoms, written as extended XYZ:
```
4
Lattice="3.227 0.000 0.000 0.000 3.227 0.000 0.000 0.000 5.239" Properties=species:S:1:pos:R:3 pbc="T T T"
Tc 0.000 0.000 0.000
P 0.000 0.000 2.521
P 1.613 1.613 0.844
Rh 1.613 1.613 3.229
```

Arrangement 2

The following is a PBE calculation of a relaxed TcP2Rh crystal, from the Alexandria database.

Cell and atoms, written as extended XYZ:
```
4
Lattice="1.471 -2.590 0.000 1.471 2.590 0.000 0.000 0.000 7.540" Properties=species:S:1:pos:R:3 pbc="T T T"
Tc 0.000 0.000 0.000
P 1.471 0.000 1.876
P 1.471 0.000 5.664
Rh 0.000 0.000 3.770
```

Stability ranking, top and bottom: arrangement 1 is the most stable and arrangement 2 is the least stable.

Arrangement 1

The following is a PBE calculation of a relaxed TcP2Rh crystal, from the Alexandria database.

Cell and atoms, written as extended XYZ:
```
4
Lattice="0.000 3.041 3.041 3.041 0.000 3.041 3.041 3.041 0.000" Properties=species:S:1:pos:R:3 pbc="T T T"
Tc 0.000 0.000 0.000
P 1.520 1.520 1.520
P 3.041 3.041 3.041
Rh 4.561 4.561 4.561
```

Arrangement 2

The following is a PBE calculation of a relaxed TcP2Rh crystal, from the Alexandria database.

Cell and atoms, written as extended XYZ:
```
4
Lattice="2.884 -3.827 0.000 2.884 3.827 0.000 -1.472 0.000 2.594" Properties=species:S:1:pos:R:3 pbc="T T T"
Tc 0.000 0.000 0.000
P 1.442 1.913 0.000
P 1.442 -1.913 0.000
Rh 2.884 0.000 0.000
```

Stability ranking, top and bottom: arrangement 2 is the most stable and arrangement 1 is the least stable.

Arrangement 1

The following is a PBE calculation of a relaxed TcPRh3 crystal, from the Alexandria database.

Cell and atoms, written as extended XYZ:
```
5
Lattice="4.374 0.000 0.000 0.000 4.374 0.000 0.000 0.000 4.374" Properties=species:S:1:pos:R:3 pbc="T T T"
Tc 0.000 0.000 0.000
P 2.187 2.187 2.187
Rh 0.000 2.187 2.187
Rh 2.187 0.000 2.187
Rh 2.187 2.187 0.000
```

Arrangement 2

The following is a PBE calculation of a relaxed TcPRh3 crystal, from the Alexandria database.

Cell and atoms, written as extended XYZ:
```
5
Lattice="4.645 0.000 0.000 0.000 4.645 0.000 0.000 0.000 4.645" Properties=species:S:1:pos:R:3 pbc="T T T"
Tc 0.000 0.000 0.000
P 2.323 2.323 2.323
Rh 0.000 0.000 2.323
Rh 0.000 2.323 0.000
Rh 2.323 0.000 0.000
```

Stability ranking, top and bottom: arrangement 1 is the most stable and arrangement 2 is the least stable.

Arrangement 1

The following is a PBE calculation of a relaxed TePRh2 crystal, from the Alexandria database.

Cell and atoms, written as extended XYZ:
```
4
Lattice="3.017 0.000 0.000 0.000 3.017 0.000 0.000 0.000 7.162" Properties=species:S:1:pos:R:3 pbc="T T T"
Te 0.000 0.000 0.000
P 0.000 0.000 3.581
Rh 1.508 1.508 2.223
Rh 1.508 1.508 4.939
```

Arrangement 2

The following is a PBE calculation of a relaxed TePRh2 crystal, from the Alexandria database.

Cell and atoms, written as extended XYZ:
```
4
Lattice="0.000 3.191 3.191 3.191 0.000 3.191 3.191 3.191 0.000" Properties=species:S:1:pos:R:3 pbc="T T T"
Te 0.000 0.000 0.000
P 3.191 3.191 3.191
Rh 1.595 1.595 1.595
Rh 4.786 4.786 4.786
```

Arrangement 3

The following is a PBE calculation of a relaxed TePRh2 crystal, from the Alexandria database.

Cell and atoms, written as extended XYZ:
```
4
Lattice="-1.603 1.665 6.573 1.603 -1.665 6.573 1.603 1.665 -6.573" Properties=species:S:1:pos:R:3 pbc="T T T"
Te 0.000 0.000 0.000
P 0.000 1.665 3.274
Rh 1.603 0.000 2.535
Rh 0.000 0.000 4.920
```

Arrangement 4

The following is a PBE calculation of a relaxed TePRh2 crystal, from the Alexandria database.

Cell and atoms, written as extended XYZ:
```
4
Lattice="3.865 -1.683 0.000 3.865 1.683 0.000 -0.690 0.000 5.609" Properties=species:S:1:pos:R:3 pbc="T T T"
Te 0.000 0.000 0.000
P 1.108 0.000 3.010
Rh 3.375 0.000 3.363
Rh 5.473 0.000 1.497
```

Stability ranking, top and bottom: arrangement 4 is the most stable and arrangement 2 is the least stable.

Arrangement 1

The following is a PBE calculation of a relaxed TePRh2 crystal, from the Alexandria database.

Cell and atoms, written as extended XYZ:
```
4
Lattice="4.420 0.000 0.000 0.000 4.420 0.000 0.000 0.000 3.332" Properties=species:S:1:pos:R:3 pbc="T T T"
Te 0.000 0.000 0.000
P 2.210 2.210 0.000
Rh 0.000 2.210 1.666
Rh 2.210 0.000 1.666
```

Arrangement 2

The following is a PBE calculation of a relaxed TePRh2 crystal, from the Alexandria database.

Cell and atoms, written as extended XYZ:
```
4
Lattice="3.517 0.000 0.000 0.000 3.713 0.000 0.000 0.000 5.759" Properties=species:S:1:pos:R:3 pbc="T T T"
Te 0.000 0.000 0.000
P 0.000 1.857 2.879
Rh 1.759 1.857 1.478
Rh 1.759 1.857 4.281
```

Stability ranking, top and bottom: arrangement 2 is the most stable and arrangement 1 is the least stable.

Arrangement 1

The following is a PBE calculation of a relaxed TePRh2 crystal, from the Alexandria database.

Cell and atoms, written as extended XYZ:
```
4
Lattice="1.853 1.070 5.962 -1.853 1.070 5.962 0.000 -2.139 5.962" Properties=species:S:1:pos:R:3 pbc="T T T"
Te 0.000 0.000 0.000
P 0.000 0.000 8.943
Rh 0.000 0.000 3.934
Rh 0.000 0.000 13.953
```

Arrangement 2

The following is a PBE calculation of a relaxed TePRh2 crystal, from the Alexandria database.

Cell and atoms, written as extended XYZ:
```
4
Lattice="0.000 3.217 3.217 3.217 0.000 3.217 3.217 3.217 0.000" Properties=species:S:1:pos:R:3 pbc="T T T"
Te 0.000 0.000 0.000
P 1.608 1.608 1.608
Rh 3.217 3.217 3.217
Rh 4.825 4.825 4.825
```

Stability ranking, top and bottom: arrangement 1 is the most stable and arrangement 2 is the least stable.

Arrangement 1

The following is a PBE calculation of a relaxed TePRh2 crystal, from the Alexandria database.

Cell and atoms, written as extended XYZ:
```
4
Lattice="-1.823 2.685 3.650 1.823 -2.685 3.650 1.823 2.685 -3.650" Properties=species:S:1:pos:R:3 pbc="T T T"
Te 0.000 0.000 0.000
P 0.000 0.000 3.650
Rh 1.823 0.000 2.282
Rh 0.000 2.685 1.367
```

Arrangement 2

The following is a PBE calculation of a relaxed TePRh2 crystal, from the Alexandria database.

Cell and atoms, written as extended XYZ:
```
4
Lattice="0.000 3.033 4.120 2.821 0.000 4.120 2.821 3.033 0.000" Properties=species:S:1:pos:R:3 pbc="T T T"
Te 0.000 0.000 0.000
P 2.821 3.033 4.120
Rh 2.821 1.517 2.060
Rh 0.000 1.517 2.060
```

Stability ranking, top and bottom: arrangement 1 is the most stable and arrangement 2 is the least stable.

Arrangement 1

The following is a PBE calculation of a relaxed TePRh2 crystal, from the Alexandria database.

Cell and atoms, written as extended XYZ:
```
8
Lattice="-2.536 2.536 6.445 2.536 -2.536 6.445 2.536 2.536 -6.445" Properties=species:S:1:pos:R:3 pbc="T T T"
Te 0.000 0.000 0.000
Te 0.000 2.536 3.223
P 2.536 0.000 3.223
P 0.000 0.000 6.445
Rh 1.268 -0.911 4.834
Rh 1.625 1.268 1.611
Rh 1.268 3.448 -1.611
Rh 0.911 1.268 8.057
```

Arrangement 2

The following is a PBE calculation of a relaxed TePRh2 crystal, from the Alexandria database.

Cell and atoms, written as extended XYZ:
```
4
Lattice="3.984 0.000 0.000 0.000 3.984 0.000 -0.009 0.000 5.527" Properties=species:S:1:pos:R:3 pbc="T T T"
Te 0.000 0.000 0.000
P 1.983 1.992 2.657
Rh 1.983 0.000 3.829
Rh 3.975 1.992 3.830
```

Stability ranking, top and bottom: arrangement 2 is the most stable and arrangement 1 is the least stable.